[1]
A plane-wave DFT calculation with PBE was carried out for CaScHgI2 after structural relaxation.

a b c (Å): 5.944 5.944 6.965
angles (deg): 90.00 90.00 90.00
Sites, in units of the cell vectors:
Ca1 0.000 0.000 0.000
Sc1 0.000 0.000 0.500
Hg1 0.500 0.500 0.500
I1 0.000 0.500 0.000
I2 0.500 0.000 0.000

Results
D(E_F) = 0.830 states/eV/atom
DFT total energy = -2.46 eV/atom
Crystal system = tetragonal
Raw formation energy = -0.11 eV/atom


[2]
A plane-wave DFT calculation with PBE was carried out for MnPHCS after structural relaxation.

a b c (Å): 2.902 3.563 6.897
angles (deg): 97.13 101.59 90.00
Sites, in units of the cell vectors:
Mn1 0.000 0.000 0.000
P1 0.389 0.650 0.767
H1 0.291 0.703 0.561
C1 0.927 0.433 0.846
S1 0.615 0.077 0.240

Results
D(E_F) = 0.213 states/eV/atom
DFT total energy = -6.15 eV/atom
Crystal system = triclinic
ΔE to the lowest computed polymorph = 167.1 meV/atom